Material: ZrFeN2F
Method: DFT, PBE+U
State: relaxed

It has space group P4/mmm (No. 123), with a = 4.234 Å, b = 4.234 Å, c = 4.120 Å, α = 90.00°, β = 90.00° and γ = 90.00°. The asymmetric unit holds Zr at (0.000, 0.000, 0.000), Fe at (0.500, 0.500, 0.500), N at (0.000, 0.500, 0.000) and F at (0.000, 0.000, 0.500).

The calculation puts the total magnetization at 3.819 μB per formula unit. The calculation puts the calculated total energy at -6.99 eV per atom. Its distance to the lowest polymorph of the same formula is 0.000 eV per atom.